No. 1
Here is CrHg2F2 after structural relaxation from Alexandria via LeMat-Bulk. Energies are from GGA+U.

Cell lengths 5.740, 5.740, 6.438 Å; angles 90.00, 90.00, 90.00 degrees
Element x y z (fractional)
Cr (0.000, 0.000, 0.000)
Cr (0.500, 0.500, 0.000)
Hg (0.195, 0.305, 0.500)
Hg (0.305, 0.805, 0.500)
Hg (0.695, 0.195, 0.500)
Hg (0.805, 0.695, 0.500)
F (0.247, 0.253, 0.000)
F (0.253, 0.753, 0.000)
F (0.747, 0.247, 0.000)
F (0.753, 0.747, 0.000)

SG: P4/mbm (127)
E, eV/atom: -3.770
Total moment, μB/cell: 7.9


No. 2
Here is Cr3HgF after structural relaxation from Alexandria via LeMat-Bulk. Energies are from GGA+U.

Cell lengths 4.558, 4.558, 4.558 Å; angles 90.00, 90.00, 90.00 degrees
Element x y z (fractional)
Cr (0.000, 0.000, 0.500)
Cr (0.000, 0.500, 0.000)
Cr (0.500, 0.000, 0.000)
Hg (0.500, 0.500, 0.500)
F (0.000, 0.000, 0.000)

SG: Pm-3m (221)
E, eV/atom: -4.997
Energy above the lowest structure with this stoichiometry, eV per atom: 0.000
Total moment, μB/cell: 14.1


No. 3
Here is CrHgF5 after structural relaxation from Alexandria via LeMat-Bulk. Energies are from GGA+U.

Cell lengths 5.692, 5.692, 5.692 Å; angles 139.84, 106.57, 87.16 degrees
Element x y z (fractional)
Cr (0.000, 0.000, 0.000)
Hg (0.500, 0.500, 0.000)
F (0.000, 0.500, 0.500)
F (0.234, 0.234, 0.000)
F (0.287, 0.000, 0.287)
F (0.713, 0.000, 0.713)
F (0.766, 0.766, 0.000)

SG: Immm (71)
E, eV/atom: -4.606
Total moment, μB/cell: 3.0


No. 4
Here is CrHgF4 after structural relaxation from Alexandria via LeMat-Bulk. Energies are from GGA+U.

Cell lengths 3.031, 4.996, 7.052 Å; angles 104.52, 90.00, 90.09 degrees
Element x y z (fractional)
Cr (0.000, 0.000, 0.000)
Hg (0.500, 0.000, 0.500)
F (0.001, 0.211, 0.268)
F (0.499, 0.785, 0.064)
F (0.501, 0.215, 0.936)
F (0.999, 0.789, 0.732)

SG: P-1 (2)
E, eV/atom: -4.614
Total moment, μB/cell: 2.8


No. 5
Here is Cr3HgF after structural relaxation from Alexandria via LeMat-Bulk. Energies are from GGA+U.

Cell lengths 5.299, 5.299, 5.299 Å; angles 90.00, 90.00, 90.00 degrees
Element x y z (fractional)
Cr (0.000, 0.000, 0.500)
Cr (0.000, 0.500, 0.000)
Cr (0.500, 0.000, 0.000)
Hg (0.000, 0.000, 0.000)
F (0.500, 0.500, 0.500)

SG: Pm-3m (221)
E, eV/atom: -4.249
Energy above the lowest structure with this stoichiometry, eV per atom: 0.748
Total moment, μB/cell: 14.6


No. 6
Here is CrHg2F8 after structural relaxation from Alexandria via LeMat-Bulk. Energies are from GGA+U.

Cell lengths 6.062, 6.062, 4.839 Å; angles 91.58, 91.58, 76.44 degrees
Element x y z (fractional)
Cr (0.000, 0.000, 0.000)
Hg (0.359, 0.359, 0.236)
Hg (0.641, 0.641, 0.764)
F (0.066, 0.722, 0.163)
F (0.136, 0.136, 0.305)
F (0.278, 0.934, 0.837)
F (0.413, 0.413, 0.744)
F (0.587, 0.587, 0.256)
F (0.722, 0.066, 0.163)
F (0.864, 0.864, 0.695)
F (0.934, 0.278, 0.837)

SG: C2/m (12)
E, eV/atom: -3.922
Total moment, μB/cell: 2.0